## 1
# UTiS2 | Alexandria via LeMat-Bulk | PBE-GGA | optimized geometry
# N(E_F) = 1.706 states/eV per atom
data_UTiS2
_cell_length_a 5.258
_cell_length_b 3.736
_cell_length_c 6.383
_cell_angle_alpha 54.19
_cell_angle_beta 65.39
_cell_angle_gamma 44.69
_space_group_name_H-M_alt 'P 1'
_space_group_IT_number 1
loop_
_space_group_symop_operation_xyz
'x,y,z'
loop_
_atom_site_label
_atom_site_type_symbol
_atom_site_fract_x
_atom_site_fract_y
_atom_site_fract_z
U1 U 0.676 0.371 0.620
Ti1 Ti 0.176 0.871 0.120
S1 S 0.176 0.371 0.620
S2 S 0.676 0.871 0.120

***

## 2
# UTiS2 | Alexandria via LeMat-Bulk | PBE-GGA | optimized geometry
# N(E_F) = 1.709 states/eV per atom
data_UTiS2
_cell_length_a 3.321
_cell_length_b 3.321
_cell_length_c 8.732
_cell_angle_alpha 79.04
_cell_angle_beta 79.04
_cell_angle_gamma 60.00
_space_group_name_H-M_alt 'P 1'
_space_group_IT_number 1
loop_
_space_group_symop_operation_xyz
'x,y,z'
loop_
_atom_site_label
_atom_site_type_symbol
_atom_site_fract_x
_atom_site_fract_y
_atom_site_fract_z
U1 U 0.000 0.000 0.000
S1 S 0.892 0.892 0.324
Ti1 Ti 0.500 0.500 0.500
S2 S 0.108 0.108 0.676

***

Most stable structure, least stable structure: 1, 2.

***

## 1
# Ti3VS | Alexandria via LeMat-Bulk | PBE-GGA | optimized geometry
# N(E_F) = 0.775 states/eV per atom
data_Ti3VS
_cell_length_a 3.335
_cell_length_b 6.888
_cell_length_c 6.599
_cell_angle_alpha 97.69
_cell_angle_beta 90.00
_cell_angle_gamma 90.00
_space_group_name_H-M_alt 'P 1'
_space_group_IT_number 1
loop_
_space_group_symop_operation_xyz
'x,y,z'
loop_
_atom_site_label
_atom_site_type_symbol
_atom_site_fract_x
_atom_site_fract_y
_atom_site_fract_z
V1 V 0.750 0.356 0.510
Ti1 Ti 0.250 0.086 0.642
Ti2 Ti 0.250 0.169 0.166
V2 V 0.250 0.644 0.490
Ti3 Ti 0.250 0.490 0.832
S1 S 0.750 0.231 0.883
Ti4 Ti 0.750 0.831 0.834
Ti5 Ti 0.750 0.510 0.168
S2 S 0.250 0.769 0.117
Ti6 Ti 0.750 0.914 0.358

***

## 2
# Ti3VS | Alexandria via LeMat-Bulk | PBE-GGA | optimized geometry
# N(E_F) = 1.499 states/eV per atom
data_Ti3VS
_cell_length_a 4.558
_cell_length_b 4.558
_cell_length_c 4.558
_cell_angle_alpha 90.00
_cell_angle_beta 90.00
_cell_angle_gamma 90.00
_space_group_name_H-M_alt 'P 1'
_space_group_IT_number 1
loop_
_space_group_symop_operation_xyz
'x,y,z'
loop_
_atom_site_label
_atom_site_type_symbol
_atom_site_fract_x
_atom_site_fract_y
_atom_site_fract_z
V1 V 0.000 0.000 0.000
Ti1 Ti 0.500 0.000 0.000
Ti2 Ti 0.000 0.500 0.000
Ti3 Ti 0.000 0.000 0.500
S1 S 0.500 0.500 0.500

***

Most stable structure, least stable structure: 1, 2.

***

## 1
# TiV3S | Alexandria via LeMat-Bulk | PBE-GGA | optimized geometry
# N(E_F) = 1.373 states/eV per atom
data_TiV3S
_cell_length_a 4.429
_cell_length_b 4.429
_cell_length_c 4.429
_cell_angle_alpha 90.00
_cell_angle_beta 90.00
_cell_angle_gamma 90.00
_space_group_name_H-M_alt 'P 1'
_space_group_IT_number 1
loop_
_space_group_symop_operation_xyz
'x,y,z'
loop_
_atom_site_label
_atom_site_type_symbol
_atom_site_fract_x
_atom_site_fract_y
_atom_site_fract_z
S1 S 0.500 0.500 0.500
V1 V 0.000 0.500 0.000
V2 V 0.000 0.000 0.500
V3 V 0.500 0.000 0.000
Ti1 Ti 0.000 0.000 0.000

***

## 2
# TiV3S | Alexandria via LeMat-Bulk | PBE-GGA | optimized geometry
# N(E_F) = 1.161 states/eV per atom
data_TiV3S
_cell_length_a 4.283
_cell_length_b 4.283
_cell_length_c 4.283
_cell_angle_alpha 90.00
_cell_angle_beta 90.00
_cell_angle_gamma 90.00
_space_group_name_H-M_alt 'P 1'
_space_group_IT_number 1
loop_
_space_group_symop_operation_xyz
'x,y,z'
loop_
_atom_site_label
_atom_site_type_symbol
_atom_site_fract_x
_atom_site_fract_y
_atom_site_fract_z
Ti1 Ti 0.500 0.500 0.500
V1 V 0.000 0.500 0.000
V2 V 0.000 0.000 0.500
V3 V 0.500 0.000 0.000
S1 S 0.000 0.000 0.000

***

Most stable structure, least stable structure: 2, 1.

***

## 1
# TiVS2 | Alexandria via LeMat-Bulk | PBE-GGA | optimized geometry
# N(E_F) = 1.184 states/eV per atom
data_TiVS2
_cell_length_a 4.244
_cell_length_b 4.244
_cell_length_c 4.244
_cell_angle_alpha 60.00
_cell_angle_beta 60.00
_cell_angle_gamma 60.00
_space_group_name_H-M_alt 'P 1'
_space_group_IT_number 1
loop_
_space_group_symop_operation_xyz
'x,y,z'
loop_
_atom_site_label
_atom_site_type_symbol
_atom_site_fract_x
_atom_site_fract_y
_atom_site_fract_z
S1 S 0.250 0.250 0.250
S2 S 0.750 0.750 0.750
Ti1 Ti 0.000 0.000 0.000
V1 V 0.500 0.500 0.500

***

## 2
# TiVS2 | Alexandria via LeMat-Bulk | PBE-GGA | optimized geometry
# N(E_F) = 0.514 states/eV per atom
data_TiVS2
_cell_length_a 3.319
_cell_length_b 5.845
_cell_length_c 5.970
_cell_angle_alpha 90.00
_cell_angle_beta 90.00
_cell_angle_gamma 90.00
_space_group_name_H-M_alt 'P 1'
_space_group_IT_number 1
loop_
_space_group_symop_operation_xyz
'x,y,z'
loop_
_atom_site_label
_atom_site_type_symbol
_atom_site_fract_x
_atom_site_fract_y
_atom_site_fract_z
S1 S 0.500 0.179 0.785
S2 S 0.000 0.336 0.220
S3 S 0.000 0.664 0.720
V1 V 0.500 0.557 0.985
Ti1 Ti 0.000 0.942 0.009
S4 S 0.500 0.821 0.285
Ti2 Ti 0.000 0.058 0.509
V2 V 0.500 0.443 0.485

***

## 3
# TiVS2 | Alexandria via LeMat-Bulk | PBE-GGA | optimized geometry
# N(E_F) = 0.899 states/eV per atom
data_TiVS2
_cell_length_a 4.611
_cell_length_b 4.635
_cell_length_c 11.945
_cell_angle_alpha 90.00
_cell_angle_beta 90.00
_cell_angle_gamma 90.00
_space_group_name_H-M_alt 'P 1'
_space_group_IT_number 1
loop_
_space_group_symop_operation_xyz
'x,y,z'
loop_
_atom_site_label
_atom_site_type_symbol
_atom_site_fract_x
_atom_site_fract_y
_atom_site_fract_z
S1 S 0.443 0.999 0.614
Ti1 Ti 0.443 0.999 0.823
S2 S 0.943 0.499 0.617
S3 S 0.443 0.001 0.117
S4 S 0.443 0.501 0.383
V1 V 0.443 0.501 0.181
Ti2 Ti 0.943 0.001 0.177
S5 S 0.943 0.001 0.386
V2 V 0.943 0.999 0.681
Ti3 Ti 0.443 0.499 0.677
S6 S 0.943 0.999 0.883
S7 S 0.443 0.499 0.886
Ti4 Ti 0.943 0.501 0.323
V3 V 0.943 0.499 0.819
V4 V 0.443 0.001 0.319
S8 S 0.943 0.501 0.114

***

Most stable structure, least stable structure: 2, 1.

***

## 1
# TiVS2 | Alexandria via LeMat-Bulk | PBE-GGA | optimized geometry
# N(E_F) = 0.907 states/eV per atom
data_TiVS2
_cell_length_a 5.456
_cell_length_b 5.456
_cell_length_c 6.591
_cell_angle_alpha 65.55
_cell_angle_beta 65.55
_cell_angle_gamma 90.00
_space_group_name_H-M_alt 'P 1'
_space_group_IT_number 1
loop_
_space_group_symop_operation_xyz
'x,y,z'
loop_
_atom_site_label
_atom_site_type_symbol
_atom_site_fract_x
_atom_site_fract_y
_atom_site_fract_z
Ti1 Ti 0.500 0.500 0.000
S1 S 0.875 0.882 0.750
Ti2 Ti 0.250 0.750 0.500
S2 S 0.632 0.125 0.250
V1 V 0.750 0.250 0.500
S3 S 0.118 0.625 0.250
V2 V 0.000 0.000 0.000
S4 S 0.375 0.368 0.750

***

## 2
# TiVS2 | Alexandria via LeMat-Bulk | PBE-GGA | optimized geometry
# N(E_F) = 0.833 states/eV per atom
data_TiVS2
_cell_length_a 7.967
_cell_length_b 7.967
_cell_length_c 7.967
_cell_angle_alpha 24.14
_cell_angle_beta 24.14
_cell_angle_gamma 24.14
_space_group_name_H-M_alt 'P 1'
_space_group_IT_number 1
loop_
_space_group_symop_operation_xyz
'x,y,z'
loop_
_atom_site_label
_atom_site_type_symbol
_atom_site_fract_x
_atom_site_fract_y
_atom_site_fract_z
S1 S 0.102 0.102 0.102
S2 S 0.898 0.898 0.898
V1 V 0.000 0.000 0.000
Ti1 Ti 0.500 0.500 0.500

***

Most stable structure, least stable structure: 1, 2.

***

## 1
# TiV2S4 | Alexandria via LeMat-Bulk | PBE-GGA | optimized geometry
# N(E_F) = 0.802 states/eV per atom
data_TiV2S4
_cell_length_a 4.749
_cell_length_b 4.749
_cell_length_c 6.814
_cell_angle_alpha 69.60
_cell_angle_beta 69.60
_cell_angle_gamma 90.00
_space_group_name_H-M_alt 'P 1'
_space_group_IT_number 1
loop_
_space_group_symop_operation_xyz
'x,y,z'
loop_
_atom_site_label
_atom_site_type_symbol
_atom_site_fract_x
_atom_site_fract_y
_atom_site_fract_z
S1 S 0.799 0.799 0.402
S2 S 0.201 0.201 0.598
V1 V 0.613 0.613 0.775
Ti1 Ti 0.000 0.000 0.000
S3 S 0.500 0.000 0.000
S4 S 0.000 0.500 0.000
V2 V 0.387 0.387 0.225

***

## 2
# TiV2S4 | Alexandria via LeMat-Bulk | PBE-GGA | optimized geometry
# N(E_F) = 1.295 states/eV per atom
data_TiV2S4
_cell_length_a 7.221
_cell_length_b 7.217
_cell_length_c 7.219
_cell_angle_alpha 119.99
_cell_angle_beta 120.01
_cell_angle_gamma 89.99
_space_group_name_H-M_alt 'P 1'
_space_group_IT_number 1
loop_
_space_group_symop_operation_xyz
'x,y,z'
loop_
_atom_site_label
_atom_site_type_symbol
_atom_site_fract_x
_atom_site_fract_y
_atom_site_fract_z
S1 S 0.383 0.149 0.766
S2 S 0.867 0.133 0.734
S3 S 0.399 0.133 0.266
Ti1 Ti 0.000 0.000 0.000
S4 S 0.851 0.617 0.234
S5 S 0.867 0.601 0.734
V1 V 0.625 0.375 0.250
S6 S 0.383 0.617 0.234
Ti2 Ti 0.250 0.750 0.500
S7 S 0.867 0.133 0.266
S8 S 0.383 0.617 0.766
V2 V 0.625 0.875 0.250
V3 V 0.125 0.375 0.750
V4 V 0.625 0.375 0.750

***

Most stable structure, least stable structure: 2, 1.